Entry 1:
! MnCrHg2Br (GGA-PBE, relaxed); values from VASP
! **DOS(E_F)**: 3.83 states/eV per cell
! **Space group**: P4/mmm
! **Crystal system**: tetragonal
&SYSTEM
  ibrav = 0, nat = 5, ntyp = 4
/
ATOMIC_SPECIES
Hg 200.59 Hg.upf
Cr 52.00 Cr.upf
Mn 54.94 Mn.upf
Br 79.90 Br.upf
CELL_PARAMETERS angstrom
-3.791 3.129 2.188
-3.463 -3.210 -1.410
0.530 -2.622 4.668
ATOMIC_POSITIONS angstrom
Hg -1.895 1.564 1.094
Cr -3.362 -1.352 2.723
Mn 0.000 0.000 0.000
Br -1.732 -1.605 -0.705
Hg 0.265 -1.311 2.334


Entry 2:
! CrHgOsBr2 (GGA-PBE, relaxed); values from VASP
! **DOS(E_F)**: 3.70 states/eV per cell
! **Space group**: P4/mmm
! **Crystal system**: tetragonal
&SYSTEM
  ibrav = 0, nat = 5, ntyp = 4
/
ATOMIC_SPECIES
Os 190.23 Os.upf
Br 79.90 Br.upf
Cr 52.00 Cr.upf
Hg 200.59 Hg.upf
CELL_PARAMETERS angstrom
5.453 0.000 0.000
0.000 5.515 0.000
0.000 0.000 5.453
ATOMIC_POSITIONS angstrom
Os 2.726 2.758 2.726
Br 0.000 0.000 2.726
Br 2.726 0.000 0.000
Cr 0.000 2.758 0.000
Hg 0.000 0.000 0.000


Entry 3:
! RbCr2HgBr8 (GGA-PBE, relaxed); values from VASP
! **DOS(E_F)**: 1.54 states/eV per cell
! **Space group**: P-1
! **Crystal system**: triclinic
&SYSTEM
  ibrav = 0, nat = 12, ntyp = 4
/
ATOMIC_SPECIES
Br 79.90 Br.upf
Cr 52.00 Cr.upf
Hg 200.59 Hg.upf
Rb 85.47 Rb.upf
CELL_PARAMETERS angstrom
8.671 1.518 0.893
1.943 6.397 0.881
0.591 0.878 7.588
ATOMIC_POSITIONS angstrom
Br 2.978 4.109 2.940
Br 8.227 4.684 6.421
Br 7.917 4.229 2.531
Br 5.610 6.084 4.481
Cr 5.453 4.171 2.752
Cr 5.753 4.622 6.609
Br 5.340 2.250 1.083
Br 3.288 4.564 6.831
Hg 0.000 0.000 0.000
Br 5.865 6.542 8.279
Rb 0.296 0.439 3.794
Br 5.596 2.709 4.881


Entry 4:
! Rb3Cr2HgBr9 (GGA-PBE, relaxed); values from VASP
! **Space group**: P-3m1
! **Crystal system**: trigonal
&SYSTEM
  ibrav = 0, nat = 15, ntyp = 4
/
ATOMIC_SPECIES
Br 79.90 Br.upf
Cr 52.00 Cr.upf
Rb 85.47 Rb.upf
Hg 200.59 Hg.upf
CELL_PARAMETERS angstrom
-7.431 -0.025 0.567
3.817 -6.354 0.771
0.847 1.867 11.198
ATOMIC_POSITIONS angstrom
Br -1.464 -4.773 3.929
Br 0.257 -1.736 3.292
Cr 0.190 -3.975 2.318
Br 2.074 -4.761 3.659
Rb -3.462 -1.650 3.538
Br -1.303 0.261 8.606
Br -3.715 -0.012 0.283
Cr -2.956 -0.537 10.217
Br 1.909 -3.177 0.385
Hg 0.424 0.933 5.599
Rb 0.000 0.000 0.000
Br -1.807 -3.190 0.669
Br -4.840 0.249 8.876
Br -3.023 -2.776 9.243
Rb 0.695 -2.862 8.997


Entry 5:
! CrHgSeBr2 (GGA-PBE, relaxed); values from VASP
! **DOS(E_F)**: 3.02 states/eV per cell
! **Energy relative to the lowest polymorph listed for this composition**: 0 meV per atom
! **Space group**: P4/mmm
! **Crystal system**: tetragonal
&SYSTEM
  ibrav = 0, nat = 5, ntyp = 4
/
ATOMIC_SPECIES
Hg 200.59 Hg.upf
Cr 52.00 Cr.upf
Se 78.96 Se.upf
Br 79.90 Br.upf
CELL_PARAMETERS angstrom
5.236 0.000 0.000
0.000 5.236 0.000
0.000 0.000 4.824
ATOMIC_POSITIONS angstrom
Hg 2.618 2.618 2.412
Cr 0.000 0.000 0.000
Se 0.000 0.000 2.412
Br 0.000 2.618 0.000
Br 2.618 0.000 0.000


Entry 6:
! TlCr2HgBr (GGA-PBE, relaxed); values from VASP
! **DOS(E_F)**: 2.95 states/eV per cell
! **Space group**: P4/mmm
! **Crystal system**: tetragonal
&SYSTEM
  ibrav = 0, nat = 5, ntyp = 4
/
ATOMIC_SPECIES
Cr 52.00 Cr.upf
Br 79.90 Br.upf
Hg 200.59 Hg.upf
Tl 204.38 Tl.upf
CELL_PARAMETERS angstrom
-3.726 3.175 0.731
-2.818 -2.092 -5.276
-2.402 -3.427 2.642
ATOMIC_POSITIONS angstrom
Cr -1.201 -1.714 1.321
Cr -1.863 1.587 0.366
Br 0.000 0.000 0.000
Hg -1.409 -1.046 -2.638
Tl -4.473 -1.172 -0.952


Entry 7:
! ZnCr2HgBr (GGA-PBE, relaxed); values from VASP
! **DOS(E_F)**: 1.71 states/eV per cell
! **Space group**: P4/mmm
! **Crystal system**: tetragonal
&SYSTEM
  ibrav = 0, nat = 5, ntyp = 4
/
ATOMIC_SPECIES
Hg 200.59 Hg.upf
Br 79.90 Br.upf
Cr 52.00 Cr.upf
Zn 65.41 Zn.upf
CELL_PARAMETERS angstrom
-2.904 -0.816 -4.015
-3.610 -1.726 2.962
-1.877 4.640 0.415
ATOMIC_POSITIONS angstrom
Hg -1.805 -0.863 1.481
Br -4.196 1.049 -0.319
Cr -1.452 -0.408 -2.008
Zn 0.000 0.000 0.000
Cr -0.939 2.320 0.207


Entry 8:
! ZnCrHgBr2 (GGA-PBE, relaxed); values from VASP
! **DOS(E_F)**: 2.09 states/eV per cell
! **Space group**: P4/mmm
! **Crystal system**: tetragonal
&SYSTEM
  ibrav = 0, nat = 5, ntyp = 4
/
ATOMIC_SPECIES
Hg 200.59 Hg.upf
Br 79.90 Br.upf
Zn 65.41 Zn.upf
Cr 52.00 Cr.upf
CELL_PARAMETERS angstrom
-5.721 -0.881 -0.931
-0.677 -0.780 4.897
-1.007 5.724 0.772
ATOMIC_POSITIONS angstrom
Hg 0.000 0.000 0.000
Br -0.504 2.862 0.386
Zn -0.338 -0.390 2.449
Cr -3.702 2.031 2.369
Br -2.860 -0.440 -0.465


| no. | magnetization (μB/f.u.) | uncorrected energy (eV/cell) | ΔE_f (raw) (eV/atom) |
| --- | --- | --- | --- |
| 1 | 9.4 | -18.0 | 0.608 |
| 2 | 1.0 | -15.7 | 1.757 |
| 3 | 5.0 | -43.0 | -0.762 |
| 4 | 5.9 | -53.4 | -1.060 |
| 5 | 2.2 | -17.5 | -0.157 |
| 6 | 9.0 | -19.7 | 0.784 |
| 7 | 8.9 | -18.6 | 0.769 |
| 8 | 5.1 | -12.2 | 0.469 |